Compound: AcP2Ir5
Source: the Alexandria database
Functional: PBE
Structure: optimized geometry

Output
ΔH_f (0 K): -0.60 eV/atom

```
8
Lattice="-3.491 -0.705 -1.891 -1.943 -5.736 1.426 -4.601 0.019 4.188" Properties=species:S:1:pos:R:3 pbc="T T T"
Ac 0.000 0.000 0.000
P -7.502 -4.778 2.734
P -2.532 -1.644 0.989
Ir -3.272 -2.859 2.807
Ir -4.025 -3.618 0.180
Ir -6.010 -2.804 3.543
Ir -4.940 -5.121 2.431
Ir -5.095 -1.301 1.292
```